## i
## Cd6Hg2Bi (PBE)

Data for an optimized crystal structure of Cd6Hg2Bi.

Calculated values
**SG**: C2/m (12)

Unit cell a=8.689 b=8.689 c=3.617 alpha=101.92 beta=101.92 gamma=62.08
Positions (direct):
Cd 0.108 0.564 0.337
Cd 0.172 0.828 0.000
Cd 0.436 0.892 0.663
Cd 0.564 0.108 0.337
Cd 0.828 0.172 0.000
Cd 0.892 0.436 0.663
Hg 0.185 0.185 0.183
Hg 0.815 0.815 0.817
Bi 0.500 0.500 0.500



## ii
## Cd6Hg2Bi (PBE)

Data for an optimized crystal structure of Cd6Hg2Bi.

Calculated values
**SG**: C2/m (12)

Unit cell a=6.856 b=6.856 c=6.031 alpha=97.01 beta=97.01 gamma=61.06
Positions (direct):
Cd 0.119 0.690 0.807
Cd 0.307 0.307 0.107
Cd 0.310 0.881 0.193
Cd 0.690 0.119 0.807
Cd 0.693 0.693 0.893
Cd 0.881 0.310 0.193
Hg 0.165 0.165 0.645
Hg 0.835 0.835 0.355
Bi 0.500 0.500 0.500



Stability, highest: i



## i
## Cd7Hg4Bi (PBE)

Data for an optimized crystal structure of Cd7Hg4Bi.

Calculated values
**SG**: P-3m1 (164)

Unit cell a=3.413 b=3.413 c=29.262 alpha=90.00 beta=90.00 gamma=120.00
Positions (direct):
Cd 0.000 0.000 0.000
Cd 0.000 0.000 0.243
Cd 0.000 0.000 0.757
Cd 0.333 0.667 0.162
Cd 0.333 0.667 0.405
Cd 0.667 0.333 0.595
Cd 0.667 0.333 0.838
Hg 0.333 0.667 0.676
Hg 0.333 0.667 0.919
Hg 0.667 0.333 0.081
Hg 0.667 0.333 0.324
Bi 0.000 0.000 0.500



## ii
## Cd7Hg4Bi (PBE)

Data for an optimized crystal structure of Cd7Hg4Bi.

Calculated values
**SG**: P-3m1 (164)

Unit cell a=4.750 b=4.750 c=15.742 alpha=90.00 beta=90.00 gamma=120.00
Positions (direct):
Cd 0.000 0.000 0.000
Cd 0.000 0.000 0.243
Cd 0.000 0.000 0.757
Cd 0.333 0.667 0.159
Cd 0.333 0.667 0.404
Cd 0.667 0.333 0.596
Cd 0.667 0.333 0.841
Hg 0.333 0.667 0.677
Hg 0.333 0.667 0.917
Hg 0.667 0.333 0.083
Hg 0.667 0.333 0.323
Bi 0.000 0.000 0.500



Stability, highest: i



## i
## Cd7Hg2Bi (PBE)

Data for an optimized crystal structure of Cd7Hg2Bi.

Calculated values
**SG**: Cmmm (65)

Unit cell a=8.747 b=8.747 c=4.775 alpha=90.00 beta=90.00 gamma=124.40
Positions (direct):
Cd 0.000 0.000 0.000
Cd 0.204 0.417 0.000
Cd 0.296 0.704 0.500
Cd 0.417 0.204 0.000
Cd 0.583 0.796 0.000
Cd 0.704 0.296 0.500
Cd 0.796 0.583 0.000
Hg 0.196 0.804 0.000
Hg 0.804 0.196 0.000
Bi 0.500 0.500 0.500



## ii
## Cd7Hg2Bi (PBE)

Data for an optimized crystal structure of Cd7Hg2Bi.

Calculated values
**SG**: I4/mmm (139)

Unit cell a=12.562 b=12.562 c=12.562 alpha=158.64 beta=158.64 gamma=30.39
Positions (direct):
Cd 0.000 0.000 0.000
Cd 0.099 0.599 0.500
Cd 0.250 0.750 0.500
Cd 0.401 0.901 0.500
Cd 0.599 0.099 0.500
Cd 0.750 0.250 0.500
Cd 0.901 0.401 0.500
Hg 0.174 0.174 0.000
Hg 0.826 0.826 0.000
Bi 0.500 0.500 0.000



Stability, highest: ii



## i
## Cd7Hg2Bi2 (PBE)

Data for an optimized crystal structure of Cd7Hg2Bi2.

Calculated values
**SG**: C2/m (12)

Unit cell a=7.328 b=7.328 c=5.964 alpha=106.39 beta=106.39 gamma=97.39
Positions (direct):
Cd 0.000 0.000 0.000
Cd 0.067 0.598 0.840
Cd 0.386 0.386 0.194
Cd 0.402 0.933 0.160
Cd 0.598 0.067 0.840
Cd 0.614 0.614 0.806
Cd 0.933 0.402 0.160
Hg 0.246 0.754 0.500
Hg 0.754 0.246 0.500
Bi 0.255 0.255 0.615
Bi 0.745 0.745 0.385



## ii
## Cd7Hg2Bi2 (PBE)

Data for an optimized crystal structure of Cd7Hg2Bi2.

Calculated values
**SG**: C2/m (12)

Unit cell a=6.430 b=6.430 c=7.111 alpha=91.39 beta=91.39 gamma=88.81
Positions (direct):
Cd 0.000 0.000 0.000
Cd 0.054 0.427 0.198
Cd 0.171 0.171 0.546
Cd 0.427 0.054 0.198
Cd 0.573 0.946 0.802
Cd 0.829 0.829 0.454
Cd 0.946 0.573 0.802
Hg 0.368 0.368 0.882
Hg 0.632 0.632 0.118
Bi 0.300 0.700 0.500
Bi 0.700 0.300 0.500



Stability, highest: i